# 1
Computed, not measured: a relaxed structure of Li2CaDyTl4 at the GGA-PBE level of DFT.

It has space group R-3m (No. 166, hexagonal axes), with a = 5.2123 Å, b = 5.2123 Å, c = 25.5331 Å, α = 90.00°, β = 90.00° and γ = 120.00°. The distinct sites, in fractional coordinates, are Li at (0.0000, 0.0000, 0.2500), Ca at (0.0000, 0.0000, 0.0000), Dy at (0.0000, 0.0000, 0.5000), Tl at (0.0000, 0.0000, 0.1261) and Tl at (0.0000, 0.0000, 0.3754).

As for the total energy: -2.804 eV/atom.

# 2
Computed, not measured: a relaxed structure of LiCa2DyTl4 at the GGA-PBE level of DFT.

It has space group R-3m (No. 166, hexagonal axes), with a = 5.3354 Å, b = 5.3354 Å, c = 26.4663 Å, α = 90.00°, β = 90.00° and γ = 120.00°. The distinct sites, in fractional coordinates, are Li at (0.0000, 0.0000, 0.0000), Ca at (0.0000, 0.0000, 0.2527), Dy at (0.0000, 0.0000, 0.5000), Tl at (0.0000, 0.0000, 0.1230) and Tl at (0.0000, 0.0000, 0.3738).

As for the total energy: -2.841 eV/atom.

# 3
Computed, not measured: a relaxed structure of CaDyLu at the GGA-PBE level of DFT.

It has space group P3m1 (No. 156), with a = 3.5744 Å, b = 3.5744 Å, c = 9.0474 Å, α = 90.00°, β = 90.00° and γ = 120.00°. The distinct sites, in fractional coordinates, are Ca at (0.0000, 0.0000, 0.0000), Dy at (0.3333, 0.6667, 0.6461) and Lu at (0.6667, 0.3333, 0.3442).

As for the total energy: -3.612 eV/atom. The relative energy among the computed polymorphs comes out at 10 meV/atom.

# 4
Computed, not measured: a relaxed structure of CaDy2Lu at the GGA-PBE level of DFT.

It has space group R-3m (No. 166, hexagonal axes), with a = 3.5168 Å, b = 3.5168 Å, c = 37.4124 Å, α = 90.00°, β = 90.00° and γ = 120.00°. The distinct sites, in fractional coordinates, are Ca at (0.0000, 0.0000, 0.0000), Dy at (0.0000, 0.0000, 0.0922) and Lu at (0.0000, 0.0000, 0.5000).

As for the total energy: -3.767 eV/atom. The relative energy among the computed polymorphs comes out at 62 meV/atom.

# 5
Computed, not measured: a relaxed structure of CaDyLu at the GGA-PBE level of DFT.

It has space group I4mm (No. 107), with a = 3.5999 Å, b = 3.5999 Å, c = 15.4539 Å, α = 90.00°, β = 90.00° and γ = 90.00°. The distinct sites, in fractional coordinates, are Ca at (0.0000, 0.0000, 0.0000), Dy at (0.0000, 0.0000, 0.3210) and Lu at (0.0000, 0.0000, 0.6753).

As for the total energy: -3.622 eV/atom. The relative energy among the computed polymorphs comes out at 0 meV/atom.

# 6
Computed, not measured: a relaxed structure of CaDyLu2 at the GGA-PBE level of DFT.

It has space group P4/mmm (No. 123), with a = 5.0318 Å, b = 5.0318 Å, c = 5.0600 Å, α = 90.00°, β = 90.00° and γ = 90.00°. The distinct sites, in fractional coordinates, are Ca at (0.0000, 0.0000, 0.0000), Dy at (0.5000, 0.5000, 0.0000) and Lu at (0.0000, 0.5000, 0.5000).

As for the total energy: -3.748 eV/atom. The relative energy among the computed polymorphs comes out at 73 meV/atom.

# 7
Computed, not measured: a relaxed structure of CaDyLu2 at the GGA-PBE level of DFT.

It has space group P4/mmm (No. 123), with a = 3.5711 Å, b = 3.5711 Å, c = 10.2559 Å, α = 90.00°, β = 90.00° and γ = 90.00°. The distinct sites, in fractional coordinates, are Ca at (0.0000, 0.0000, 0.0000), Dy at (0.0000, 0.0000, 0.5000) and Lu at (0.5000, 0.5000, 0.2711).

As for the total energy: -3.821 eV/atom. The relative energy among the computed polymorphs comes out at 0 meV/atom.

# 8
Computed, not measured: a relaxed structure of Ca2DyLu at the GGA-PBE level of DFT.

It has space group R-3m (No. 166, hexagonal axes), with a = 3.5536 Å, b = 3.5536 Å, c = 38.8106 Å, α = 90.00°, β = 90.00° and γ = 120.00°. The distinct sites, in fractional coordinates, are Ca at (0.0000, 0.0000, 0.0870), Dy at (0.0000, 0.0000, 0.5000) and Lu at (0.0000, 0.0000, 0.0000).

As for the total energy: -3.001 eV/atom.

Number 1: ΔH_f (0 K) -317 meV per atom. Number 2: ΔH_f (0 K) -343 meV per atom. Number 3: ΔH_f (0 K) 96 meV per atom. Number 4: ΔH_f (0 K) 165 meV per atom. Number 5: ΔH_f (0 K) 86 meV per atom. Number 6: ΔH_f (0 K) 163 meV per atom. Number 7: ΔH_f (0 K) 91 meV per atom. Number 8: ΔH_f (0 K) 280 meV per atom.